1.
DFT (PBE) results for an optimized crystal structure of BeCdTc2.

Computed properties:
**Energy**: -96.17 eV/cell
**Crystal system**: cubic

Cell: 6.143 6.143 6.143 Å, 90.00 90.00 90.00°
Space group F-43m (No. 216)
Symmetry-distinct sites (fractional):
Be1 0.000 0.000 0.000 (multiplicity 4)
Cd1 0.250 0.250 0.250 (multiplicity 4)
Tc1 0.000 0.000 0.500 (multiplicity 4)
Tc2 0.250 0.250 0.750 (multiplicity 4)


2.
DFT (PBE) results for an optimized crystal structure of BeCd2Tc.

Computed properties:
**Energy**: -54.80 eV/cell
**Crystal system**: cubic

Cell: 6.328 6.328 6.328 Å, 90.00 90.00 90.00°
Space group F-43m (No. 216)
Symmetry-distinct sites (fractional):
Be1 0.000 0.000 0.000 (multiplicity 4)
Cd1 0.000 0.000 0.500 (multiplicity 4)
Cd2 0.250 0.250 0.750 (multiplicity 4)
Tc1 0.250 0.250 0.250 (multiplicity 4)


3.
DFT (PBE) results for an optimized crystal structure of BeCdTe.

Computed properties:
**Energy**: -23.57 eV/cell
**Crystal system**: cubic

Cell: 6.792 6.792 6.792 Å, 90.00 90.00 90.00°
Space group F-43m (No. 216)
Symmetry-distinct sites (fractional):
Be1 0.000 0.000 0.000 (multiplicity 4)
Cd1 0.000 0.000 0.500 (multiplicity 4)
Te1 0.250 0.250 0.250 (multiplicity 4)


4.
DFT (PBE) results for an optimized crystal structure of BeCdTe2.

Computed properties:
**Energy**: -33.56 eV/cell
**Crystal system**: cubic

Cell: 7.261 7.261 7.261 Å, 90.00 90.00 90.00°
Space group F-43m (No. 216)
Symmetry-distinct sites (fractional):
Be1 0.000 0.000 0.000 (multiplicity 4)
Cd1 0.250 0.250 0.250 (multiplicity 4)
Te1 0.000 0.000 0.500 (multiplicity 4)
Te2 0.250 0.250 0.750 (multiplicity 4)